Entry 1:
Computed, not measured: an optimized crystal structure of La2Pm2O5 at the GGA-PBE level of DFT.

Calculated values
**Energy**: -67.60 eV for the cell shown

Unit cell a=4.5317 b=4.5317 c=7.5859 alpha=90.00 beta=90.00 gamma=90.00
Sites, in units of the cell vectors:
La 0.0000 0.0000 0.0000
La 0.0000 0.0000 0.5000
Pm 0.5000 0.5000 0.2187
Pm 0.5000 0.5000 0.7813
O 0.0000 0.5000 0.2274
O 0.0000 0.5000 0.7726
O 0.5000 0.0000 0.2274
O 0.5000 0.0000 0.7726
O 0.5000 0.5000 0.5000

=====

Entry 2:
Computed, not measured: an optimized crystal structure of CsNaTcIr at the GGA-PBE level of DFT.

Calculated values
**Energy**: -15.66 eV for the cell shown

Unit cell a=5.0595 b=5.0595 c=5.0595 alpha=60.00 beta=60.00 gamma=60.00
Sites, in units of the cell vectors:
Cs 0.0000 0.0000 0.0000
Na 0.2500 0.2500 0.2500
Tc 0.5000 0.5000 0.5000
Ir 0.7500 0.7500 0.7500

=====

Entry 3:
Computed, not measured: an optimized crystal structure of Dy3Sc3Sb2Os at the GGA-PBE level of DFT.

Calculated values
**Energy**: -59.00 eV for the cell shown

Unit cell a=7.8291 b=7.8291 c=4.1824 alpha=90.00 beta=90.00 gamma=120.00
Sites, in units of the cell vectors:
Dy 0.0000 0.3929 0.0000
Dy 0.3929 0.0000 0.0000
Dy 0.6071 0.6071 0.0000
Sc 0.0000 0.7728 0.5000
Sc 0.2272 0.2272 0.5000
Sc 0.7728 0.0000 0.5000
Sb 0.3333 0.6667 0.5000
Sb 0.6667 0.3333 0.5000
Os 0.0000 0.0000 0.0000